1.
# Ni2SbOs

Ni2SbOs after structural relaxation (GGA-PBE, the Alexandria database).

Output
As for the uncorrected formation energy: 585 meV per atom. The calculation puts the calculated total energy at -49.15 eV/cell. As for the total moment: 0.000 μB/cell. The density of states at the Fermi level is 1.403 states/eV/atom.

Structure (POSCAR):
```
Ni2SbOs
1.0
3.7952 0.0000 0.0000
0.0000 3.7952 0.0000
1.8976 1.8976 8.7907
Sb Os Ni
2 2 4
direct
0.5000 0.5000 0.0000
0.2500 0.7500 0.5000
0.0000 0.0000 0.0000
0.7500 0.2500 0.5000
0.6500 0.1250 0.2500
0.1000 0.6250 0.2500
0.3750 0.3500 0.7500
0.8750 0.9000 0.7500
```

---

2.
# Rb3PuO4

Rb3PuO4 after structural relaxation (GGA-PBE, the Alexandria database).

Output
As for the uncorrected formation energy: -2060 meV per atom. The calculation puts the calculated total energy at -107.09 eV/cell. As for the total moment: 6.000 μB/cell. The density of states at the Fermi level is 0.647 states/eV/atom.

Structure (POSCAR):
```
Rb3PuO4
1.0
-3.6211 -1.2771 -5.0373
-3.0811 -2.5680 5.6490
-3.8124 6.8067 1.0149
O Rb Pu
8 6 2
direct
0.9236 0.1975 0.7076
0.4870 0.1720 0.9167
0.4236 0.1975 0.2924
0.9870 0.1720 0.0833
0.0130 0.8280 0.9167
0.5764 0.8025 0.7076
0.5130 0.8280 0.0833
0.0764 0.8025 0.2924
0.7500 0.0000 0.3874
0.2500 0.0000 0.6126
0.7500 0.5000 0.6426
0.7500 0.5000 0.1173
0.2500 0.5000 0.3574
0.2500 0.5000 0.8827
0.7500 0.0000 0.8941
0.2500 0.0000 0.1059
```

---

3.
# Ag6SeSCl2

Ag6SeSCl2 after structural relaxation (GGA-PBE, the Alexandria database).

Output
As for the uncorrected formation energy: -193 meV per atom. The calculation puts the calculated total energy at -30.35 eV/cell. As for the total moment: 0.000 μB/cell.

Structure (POSCAR):
```
Ag6SeSCl2
1.0
6.8732 -0.0503 -0.1860
3.3968 5.7469 0.0139
3.2570 2.0059 5.5517
Ag Se S Cl
6 1 1 2
direct
0.7125 0.0314 0.1059
0.1660 0.8941 0.4331
0.0608 0.5589 0.3451
0.4891 0.5911 0.8848
0.5202 0.2711 0.6885
0.0035 0.5160 0.8500
0.7424 0.8680 0.5603
0.2766 0.2854 0.1074
0.5933 0.5900 0.2596
0.0972 0.0557 0.7804
```

---

4.
# Nd5Ho2Tm

Nd5Ho2Tm after structural relaxation (GGA-PBE, the Alexandria database).

Output
The calculation puts the energy of formation at 1.7 kJ per mole of atoms. The calculation puts the calculated total energy at -74.65 eV/cell. As for the total moment: 0.000 μB/cell. The density of states at the Fermi level is 1.452 states/eV/atom.

Structure (POSCAR):
```
Nd5Ho2Tm
1.0
-0.4963 -4.6966 1.9702
0.4563 -2.8314 -6.6346
14.3710 -0.9363 1.3879
Nd Ho Tm
10 4 2
direct
0.0000 0.0000 0.0000
0.0000 0.5000 0.5000
0.0000 0.5021 0.7518
0.0000 0.4979 0.2482
0.0000 0.9979 0.2518
0.0000 0.0021 0.7482
0.5000 0.2527 0.8762
0.5000 0.7473 0.1238
0.5000 0.2473 0.3762
0.5000 0.7527 0.6238
0.5000 0.2507 0.6236
0.5000 0.7493 0.3764
0.5000 0.2493 0.1236
0.5000 0.7507 0.8764
0.0000 0.0000 0.5000
0.0000 0.5000 0.0000
```